1.
# CaPm2Sm2Ho2 GGA-PBE optimized geometry
# DFT total energy: -59.4 eV per cell
data_CaPm2Sm2Ho2
_symmetry_space_group_name_H-M 'C 1 2/m 1'
_symmetry_Int_Tables_number 12
_cell_length_a 11.469
_cell_length_b 5.134
_cell_length_c 8.142
_cell_angle_alpha 90.00
_cell_angle_beta 98.25
_cell_angle_gamma 90.00
loop_
_symmetry_equiv_pos_as_xyz
'x,y,z'
'-x,-y,-z'
'-x,y,-z'
'x,-y,z'
'x+1/2,y+1/2,z'
'-x+1/2,-y+1/2,-z'
'-x+1/2,y+1/2,-z'
'x+1/2,-y+1/2,z'
loop_
_atom_site_label
_atom_site_fract_x
_atom_site_fract_y
_atom_site_fract_z
_atom_site_occupancy
Ca1 0.000 0.000 0.000 1
Pm1 0.217 0.500 0.149 1
Sm1 0.145 0.000 0.433 1
Ho1 0.075 0.500 0.705 1

2.
# CaPm3Sm6Ho2 GGA-PBE optimized geometry
# DFT total energy: -106.4 eV per cell
data_CaPm3Sm6Ho2
_symmetry_space_group_name_H-M 'C 1 2/m 1'
_symmetry_Int_Tables_number 12
_cell_length_a 6.308
_cell_length_b 10.928
_cell_length_c 11.981
_cell_angle_alpha 90.00
_cell_angle_beta 100.05
_cell_angle_gamma 90.00
loop_
_symmetry_equiv_pos_as_xyz
'x,y,z'
'-x,-y,-z'
'-x,y,-z'
'x,-y,z'
'x+1/2,y+1/2,z'
'-x+1/2,-y+1/2,-z'
'-x+1/2,y+1/2,-z'
'x+1/2,-y+1/2,z'
loop_
_atom_site_label
_atom_site_fract_x
_atom_site_fract_y
_atom_site_fract_z
_atom_site_occupancy
Ca1 0.000 0.000 0.000 1
Pm1 0.000 0.166 0.500 1
Pm2 0.000 0.500 0.500 1
Sm1 0.244 0.500 0.250 1
Sm2 0.246 0.330 0.750 1
Ho1 0.000 0.333 0.000 1

3.
# CaPm2Sm4Ho GGA-PBE optimized geometry
# DFT total energy: -127.2 eV per cell
data_CaPm2Sm4Ho
_symmetry_space_group_name_H-M 'C 1 2/c 1'
_symmetry_Int_Tables_number 15
_cell_length_a 13.936
_cell_length_b 13.420
_cell_length_c 6.898
_cell_angle_alpha 90.00
_cell_angle_beta 119.60
_cell_angle_gamma 90.00
loop_
_symmetry_equiv_pos_as_xyz
'x,y,z'
'-x,-y,-z'
'-x,y,-z+1/2'
'x,-y,z+1/2'
'x+1/2,y+1/2,z'
'-x+1/2,-y+1/2,-z'
'-x+1/2,y+1/2,-z+1/2'
'x+1/2,-y+1/2,z+1/2'
loop_
_atom_site_label
_atom_site_fract_x
_atom_site_fract_y
_atom_site_fract_z
_atom_site_occupancy
Ca1 0.000 0.000 0.000 1
Pm1 0.000 0.500 0.000 1
Pm2 0.250 0.250 0.000 1
Sm1 0.017 0.252 0.018 1
Sm2 0.237 0.498 0.488 1
Ho1 0.250 0.250 0.500 1

Number 1: E_form 0.4 eV per formula unit, magnetic moment 0.000 μB/atom. Number 2: E_form 0.5 eV per formula unit, magnetic moment 0.000 μB/atom. Number 3: E_form 3.2 eV per formula unit, magnetic moment 0.000 μB/atom.